[1]
DFT (GGA-PBE) results for an optimized crystal structure of Ac2Nd3Zn2.

POSCAR file:
```
Ac2Nd3Zn2
1.0
12.2288 0.0000 0.0000
0.0000 4.9946 0.0000
-4.0607 0.0000 7.5332
Ac Nd Zn
4 6 4
Direct
0.1356 0.0000 0.2916
0.3644 0.5000 0.7084
0.6356 0.5000 0.2916
0.8644 0.0000 0.7084
0.0000 0.5000 0.5000
0.1399 0.5000 0.9721
0.3601 0.0000 0.0279
0.5000 0.0000 0.5000
0.6399 0.0000 0.9721
0.8601 0.5000 0.0279
0.1357 0.0000 0.6864
0.3643 0.5000 0.3136
0.6357 0.5000 0.6864
0.8643 0.0000 0.3136
```

Summary:
E above lowest polymorph: 0.012 eV per atom
DFT total energy: -0.26957 Ry/atom
Formation enthalpy at 0 K: -0.09 eV per atom
Space-group type: C2/m, No. 12



[2]
DFT (GGA-PBE) results for an optimized crystal structure of AcHoI.

POSCAR file:
```
AcHoI
1.0
12.7537 0.0000 0.0000
0.0000 3.9987 0.0000
-5.1508 0.0000 8.2407
Ac Ho I
4 4 4
Direct
0.0811 0.0000 0.3259
0.4189 0.5000 0.6741
0.5811 0.5000 0.3259
0.9189 0.0000 0.6741
0.1448 0.5000 0.0347
0.3552 0.0000 0.9653
0.6448 0.0000 0.0347
0.8552 0.5000 0.9653
0.1547 0.5000 0.6900
0.3453 0.0000 0.3100
0.6547 0.0000 0.6900
0.8453 0.5000 0.3100
```

Summary:
E above lowest polymorph: 0.000 eV per atom
DFT total energy: -0.28655 Ry/atom
Energy relative to the elements, uncorrected: -1.46 eV/f.u.
Space-group type: C2/m, No. 12



[3]
DFT (GGA-PBE) results for an optimized crystal structure of AlZn2Pd.

POSCAR file:
```
AlZn2Pd
1.0
3.3549 0.0000 0.0000
0.0000 3.3549 0.0000
0.0000 0.0000 5.3090
Al Zn Pd
1 2 1
Direct
0.0000 0.0000 0.0000
0.5000 0.5000 0.2550
0.5000 0.5000 0.7450
0.0000 0.0000 0.5000
```

Summary:
DFT total energy: -0.23723 Ry/atom
Formation enthalpy at 0 K: -0.36 eV per atom
Space-group type: P4/mmm, No. 123



[4]
DFT (GGA-PBE) results for an optimized crystal structure of Ac3LaTb8.

POSCAR file:
```
Ac3LaTb8
1.0
-4.5687 4.5687 5.7365
4.5687 -4.5687 5.7365
4.5687 4.5687 -5.7365
Ac La Tb
3 1 8
Direct
0.0000 0.0000 0.0000
0.2500 0.7500 0.5000
0.7500 0.2500 0.5000
0.5000 0.5000 0.0000
0.1398 0.3862 0.0000
0.2376 0.2376 0.5402
0.3025 0.7624 0.0000
0.3862 0.1398 0.0000
0.6138 0.6138 0.7536
0.6975 0.6975 0.4598
0.7624 0.3025 0.0000
0.8602 0.8602 0.2464
```

Summary:
DFT total energy: -0.28998 Ry/atom
Formation enthalpy at 0 K: 0.58 eV per atom
Space-group type: I-42m, No. 121



[5]
DFT (GGA-PBE) results for an optimized crystal structure of LiNpGe2Ir2.

POSCAR file:
```
LiNpGe2Ir2
1.0
4.2291 0.0000 0.0000
-2.1146 3.6625 0.0000
0.0000 0.0000 6.6187
Li Np Ge Ir
1 1 2 2
Direct
0.0000 0.0000 0.0000
0.0000 0.0000 0.5000
0.3333 0.6667 0.7689
0.6667 0.3333 0.2311
0.3333 0.6667 0.1523
0.6667 0.3333 0.8477
```

Summary:
DFT total energy: -0.54072 Ry/atom
Formation enthalpy at 0 K: -0.39 eV per atom
Space-group type: P-3m1, No. 164



[6]
DFT (GGA-PBE) results for an optimized crystal structure of PmDy5As6.

POSCAR file:
```
PmDy5As6
1.0
3.5851 -6.2087 0.0000
3.5851 6.2087 0.0000
-2.3876 0.0000 6.7598
Pm Dy As
1 5 6
Direct
0.0000 0.0000 0.0000
0.1657 0.8343 0.5000
0.3330 0.6670 0.0000
0.5000 0.5000 0.5000
0.6670 0.3330 0.0000
0.8343 0.1657 0.5000
0.0842 0.4215 0.2527
0.2534 0.2534 0.7480
0.4215 0.0842 0.2527
0.5785 0.9158 0.7473
0.7466 0.7466 0.2520
0.9158 0.5785 0.7473
```

Summary:
DFT total energy: -0.45347 Ry/atom
Formation enthalpy at 0 K: -1.53 eV per atom
Space-group type: C2/m, No. 12



Repeat the fifth record exactly.
DFT (GGA-PBE) results for an optimized crystal structure of LiNpGe2Ir2.

POSCAR file:
```
LiNpGe2Ir2
1.0
4.2291 0.0000 0.0000
-2.1146 3.6625 0.0000
0.0000 0.0000 6.6187
Li Np Ge Ir
1 1 2 2
Direct
0.0000 0.0000 0.0000
0.0000 0.0000 0.5000
0.3333 0.6667 0.7689
0.6667 0.3333 0.2311
0.3333 0.6667 0.1523
0.6667 0.3333 0.8477
```

Summary:
DFT total energy: -0.54072 Ry/atom
Formation enthalpy at 0 K: -0.39 eV per atom
Space-group type: P-3m1, No. 164